1.
DFT (PBE-GGA) results for a relaxed structure of NbPd3.

Its calculated volume is 63.6 Å³/cell. The calculation puts the energy relative to the elements at -280 meV/atom.

The structure belongs to space group Pmm2 (No. 25); the cell edges are 2.8832, 4.5136 and 4.8842 Å and the angles 90.00°, 90.00° and 90.00°. The distinct sites, in fractional coordinates, are Nb at (0.0000, 0.0000, 0.0000), Pd at (0.0000, 0.5000, 0.6820), Pd at (0.5000, 0.0000, 0.5047) and Pd at (0.5000, 0.5000, 0.1783).

2.
DFT (PBE-GGA) results for a relaxed structure of NaAlSn.

Its calculated volume is 304.8 Å³/cell. The calculation puts the energy relative to the elements at -88 meV/atom.

The structure belongs to space group C2 (No. 5); the cell edges are 9.2029, 8.0538 and 4.7824 Å and the angles 90.00°, 120.71° and 90.00°. The distinct sites, in fractional coordinates, are Na at (0.0000, 0.0000, 0.0000), Na at (0.0000, 0.3730, 0.5000), Al at (0.1696, 0.6012, 0.1697) and Sn at (0.1965, 0.7823, 0.6961).

3.
DFT (PBE-GGA) results for a relaxed structure of Nd3MgCl.

The uncorrected formation energy comes out at -0.474 eV per atom. Its calculated volume is 157.7 Å³/cell.

The structure belongs to space group Pm-3m (No. 221); the cell edges are 5.4022, 5.4022 and 5.4022 Å and the angles 90.00°, 90.00° and 90.00°. The distinct sites, in fractional coordinates, are Nd at (0.0000, 0.0000, 0.5000), Mg at (0.5000, 0.5000, 0.5000) and Cl at (0.0000, 0.0000, 0.0000).

4.
DFT (PBE-GGA) results for a relaxed structure of Sr2TlW.

Its calculated volume is 237.1 Å³/cell. The calculation puts the energy relative to the elements at 783 meV/atom. The value obtained for the energy relative to the lowest polymorph listed for this composition is 68 meV/atom.

The structure belongs to space group Amm2 (No. 38); the cell edges are 5.1071, 3.5027 and 13.2548 Å and the angles 90.00°, 90.00° and 90.00°. The distinct sites, in fractional coordinates, are Sr at (0.0000, 0.0000, 0.0000), Sr at (0.5000, 0.0000, 0.3175), Tl at (0.5000, 0.0000, 0.6036) and W at (0.0000, 0.0000, 0.7161).

5.
DFT (PBE-GGA) results for a relaxed structure of SiOsCl2.

The uncorrected formation energy comes out at 0.526 eV per atom. Its calculated volume is 205.0 Å³/cell. The value obtained for the energy relative to the lowest polymorph listed for this composition is 724 meV/atom.

The structure belongs to space group R-3m (No. 166, hexagonal axes); the cell edges are 2.9378, 2.9378 and 27.4261 Å and the angles 90.00°, 90.00° and 120.00°. The distinct sites, in fractional coordinates, are Si at (0.0000, 0.0000, 0.0000), Os at (0.0000, 0.0000, 0.5000) and Cl at (0.0000, 0.0000, 0.4177).

6.
DFT (PBE-GGA) results for a relaxed structure of ZrBi2Se.

The uncorrected formation energy comes out at 0.389 eV per atom. Its calculated volume is 617.0 Å³/cell.

The structure belongs to space group I-42d (No. 122); the cell edges are 6.5166, 6.5166 and 14.5281 Å and the angles 90.00°, 90.00° and 90.00°. The distinct sites, in fractional coordinates, are Zr at (0.0000, 0.0000, 0.0000), Bi at (0.2439, 0.2500, 0.1250) and Se at (0.0000, 0.0000, 0.5000).